*a*
An optimized crystal structure of Pm3Y3Th. Source: Alexandria, functional GGA-PBE.

Summary:
Space-group type   R-3

Cell lengths 8.8897, 8.8897, 8.8897 Å; angles 59.02, 59.02, 59.02 degrees
Positions (direct):
Pm (0.7149, 0.5646, 0.0713)
Pm (0.0713, 0.7149, 0.5646)
Pm (0.5646, 0.0713, 0.7149)
Pm (0.4354, 0.9287, 0.2851)
Pm (0.9287, 0.2851, 0.4354)
Pm (0.2851, 0.4354, 0.9287)
Y (0.7099, 0.1760, 0.9390)
Y (0.1760, 0.9390, 0.7099)
Y (0.9390, 0.7099, 0.1760)
Y (0.0610, 0.2901, 0.8240)
Y (0.8240, 0.0610, 0.2901)
Y (0.2901, 0.8240, 0.0610)
Th (0.3443, 0.3443, 0.3443)
Th (0.6557, 0.6557, 0.6557)

*b*
An optimized crystal structure of Pm3Y3Th. Source: Alexandria, functional GGA-PBE.

Summary:
Space-group type   P6_3/m

Cell lengths 5.7826, 9.6982, 9.6982 Å; angles 120.00, 90.00, 90.00 degrees
Positions (direct):
Pm (0.2500, 0.8129, 0.7543)
Pm (0.2500, 0.2457, 0.0586)
Pm (0.2500, 0.9414, 0.1871)
Pm (0.7500, 0.1871, 0.2457)
Pm (0.7500, 0.7543, 0.9414)
Pm (0.7500, 0.0586, 0.8129)
Y (0.7500, 0.6142, 0.5186)
Y (0.7500, 0.4814, 0.0956)
Y (0.7500, 0.9044, 0.3858)
Y (0.2500, 0.3858, 0.4814)
Y (0.2500, 0.5186, 0.9044)
Y (0.2500, 0.0956, 0.6142)
Th (0.2500, 0.6667, 0.3333)
Th (0.7500, 0.3333, 0.6667)

Stability summary: most stable *b*, least stable *a*.

*a*
An optimized crystal structure of Pm4YTh2. Source: Alexandria, functional GGA-PBE.

Summary:
Space-group type   I4/mmm

Cell lengths 5.6697, 5.6697, 9.3009 Å; angles 107.75, 107.75, 90.00 degrees
Positions (direct):
Pm (0.8113, 0.8113, 0.6227)
Pm (0.1887, 0.1887, 0.3773)
Pm (0.0000, 0.5000, 0.0000)
Pm (0.5000, 0.0000, 0.0000)
Y (0.0000, 0.0000, 0.0000)
Th (0.6100, 0.6100, 0.2200)
Th (0.3900, 0.3900, 0.7800)

*b*
An optimized crystal structure of Pm4YTh2. Source: Alexandria, functional GGA-PBE.

Summary:
Space-group type   P2/m

Cell lengths 5.7297, 10.2001, 5.8450 Å; angles 134.40, 90.00, 90.00 degrees
Positions (direct):
Pm (0.4998, 0.3298, 0.4949)
Pm (0.4998, 0.6702, 0.5051)
Pm (0.0002, 0.2724, 0.7774)
Pm (0.0002, 0.7276, 0.2226)
Y (0.9998, 0.0000, 0.0000)
Th (0.9998, 0.5000, 0.5000)
Th (0.5003, 0.0000, 0.5000)

Stability summary: most stable *b*, least stable *a*.

*a*
An optimized crystal structure of PmYTh4. Source: Alexandria, functional GGA-PBE.

Summary:
Space-group type   P4/mmm

Cell lengths 3.5926, 3.5926, 15.1735 Å; angles 90.00, 90.00, 90.00 degrees
Positions (direct):
Pm (0.0000, 0.0000, 0.0000)
Y (0.5000, 0.5000, 0.5000)
Th (0.5000, 0.5000, 0.1714)
Th (0.0000, 0.0000, 0.6682)
Th (0.0000, 0.0000, 0.3318)
Th (0.5000, 0.5000, 0.8286)

*b*
An optimized crystal structure of PmYTh4. Source: Alexandria, functional GGA-PBE.

Summary:
Space-group type   F-43m

Cell lengths 6.6510, 6.6510, 6.6510 Å; angles 60.00, 60.00, 60.00 degrees
Positions (direct):
Y (0.0000, 0.0000, 0.0000)
Th (0.6252, 0.6252, 0.1245)
Th (0.6252, 0.1245, 0.6252)
Th (0.6252, 0.6252, 0.6252)
Th (0.1245, 0.6252, 0.6252)
Pm (0.2500, 0.2500, 0.2500)

Stability summary: most stable *a*, least stable *b*.

*a*
An optimized crystal structure of Pm2Y5Th4. Source: Alexandria, functional GGA-PBE.

Summary:
Space-group type   C2/m

Cell lengths 3.5184, 8.6164, 12.3207 Å; angles 94.40, 98.21, 90.00 degrees
Positions (direct):
Pm (0.2748, 0.1746, 0.5496)
Pm (0.7252, 0.8254, 0.4504)
Y (0.8701, 0.9560, 0.7402)
Y (0.1299, 0.0440, 0.2598)
Y (0.8160, 0.5283, 0.6319)
Y (0.5000, 0.0000, 0.0000)
Y (0.1840, 0.4717, 0.3681)
Th (0.4152, 0.3152, 0.8304)
Th (0.0439, 0.3515, 0.0878)
Th (0.5848, 0.6848, 0.1696)
Th (0.9561, 0.6485, 0.9122)

*b*
An optimized crystal structure of Pm2Y5Th4. Source: Alexandria, functional GGA-PBE.

Summary:
Space-group type   C2/m

Cell lengths 6.7204, 9.0781, 10.4540 Å; angles 38.68, 71.25, 68.28 degrees
Positions (direct):
Pm (0.1983, 0.9311, 0.6723)
Pm (0.8017, 0.0689, 0.3277)
Y (0.1734, 0.2684, 0.9051)
Y (0.8266, 0.7316, 0.0949)
Y (0.0000, 0.5000, 0.5000)
Y (0.6531, 0.2684, 0.9051)
Y (0.3469, 0.7316, 0.0949)
Th (0.4084, 0.7756, 0.4077)
Th (0.5916, 0.2244, 0.5923)
Th (0.7507, 0.6574, 0.8411)
Th (0.2493, 0.3426, 0.1589)

Stability summary: most stable *a*, least stable *b*.

*a*
An optimized crystal structure of Pm4Y5Th. Source: Alexandria, functional GGA-PBE.

Summary:
Space-group type   P4/mmm

Cell lengths 3.6098, 3.6098, 25.4447 Å; angles 90.00, 90.00, 90.00 degrees
Positions (direct):
Pm (0.0000, 0.0000, 0.1989)
Pm (0.0000, 0.0000, 0.3998)
Pm (0.0000, 0.0000, 0.6002)
Pm (0.0000, 0.0000, 0.8011)
Y (0.5000, 0.5000, 0.0960)
Y (0.5000, 0.5000, 0.2992)
Y (0.5000, 0.5000, 0.5000)
Y (0.5000, 0.5000, 0.7008)
Y (0.5000, 0.5000, 0.9040)
Th (0.0000, 0.0000, 0.0000)

*b*
An optimized crystal structure of Pm4Y5Th. Source: Alexandria, functional GGA-PBE.

Summary:
Space-group type   C2/m

Cell lengths 5.5414, 10.5232, 6.4920 Å; angles 90.15, 115.26, 90.00 degrees
Positions (direct):
Pm (0.6653, 0.2514, 0.3306)
Pm (0.0544, 0.7514, 0.1088)
Pm (0.3347, 0.7486, 0.6694)
Pm (0.9456, 0.2486, 0.8912)
Y (0.1945, 0.0658, 0.3890)
Y (0.1949, 0.4321, 0.3899)
Y (0.8051, 0.5679, 0.6101)
Y (0.5000, 0.5000, 0.0000)
Y (0.8055, 0.9342, 0.6110)
Th (0.5000, 0.0000, 0.0000)

Stability summary: most stable *a*, least stable *b*.

*a*
An optimized crystal structure of PmY6Th3. Source: Alexandria, functional GGA-PBE.

Summary:
Space-group type   P2_1/m

Cell lengths 3.5069, 13.2561, 14.3430 Å; angles 82.49, 90.00, 90.00 degrees
Positions (direct):
Pm (0.2500, 0.3159, 0.8936)
Pm (0.7500, 0.6841, 0.1064)
Y (0.2500, 0.3724, 0.5203)
Y (0.7500, 0.6276, 0.4797)
Y (0.2500, 0.9384, 0.0981)
Y (0.7500, 0.0616, 0.9019)
Y (0.2500, 0.8779, 0.4992)
Y (0.7500, 0.1221, 0.5008)
Y (0.2500, 0.7760, 0.2975)
Y (0.7500, 0.2240, 0.7025)
Y (0.2500, 0.5755, 0.8970)
Y (0.7500, 0.4245, 0.1030)
Y (0.2500, 0.2555, 0.2956)
Y (0.7500, 0.7445, 0.7044)
Th (0.2500, 0.9919, 0.7017)
Th (0.7500, 0.0081, 0.2983)
Th (0.2500, 0.5193, 0.2917)
Th (0.7500, 0.4807, 0.7083)
Th (0.2500, 0.8266, 0.8967)
Th (0.7500, 0.1734, 0.1033)

*b*
An optimized crystal structure of PmY6Th3. Source: Alexandria, functional GGA-PBE.

Summary:
Space-group type   Cmc2_1

Cell lengths 6.3991, 10.9548, 10.9548 Å; angles 120.30, 90.00, 90.00 degrees
Positions (direct):
Pm (0.1277, 0.1943, 0.8057)
Pm (0.6277, 0.8057, 0.1943)
Y (0.0524, 0.7075, 0.6276)
Y (0.5524, 0.6276, 0.7075)
Y (0.3823, 0.5312, 0.9417)
Y (0.8823, 0.9417, 0.5312)
Y (0.3636, 0.9632, 0.0368)
Y (0.6443, 0.2608, 0.7392)
Y (0.1443, 0.7392, 0.2608)
Y (0.8636, 0.0368, 0.9632)
Y (0.3823, 0.0583, 0.4688)
Y (0.8823, 0.4688, 0.0583)
Y (0.0524, 0.3724, 0.2925)
Y (0.5524, 0.2925, 0.3724)
Th (0.4641, 0.9398, 0.7075)
Th (0.9641, 0.7075, 0.9398)
Th (0.0522, 0.3826, 0.6175)
Th (0.5522, 0.6175, 0.3826)
Th (0.9641, 0.0602, 0.2925)
Th (0.4641, 0.2925, 0.0602)

Stability summary: most stable *a*, least stable *b*.

*a*
An optimized crystal structure of Pm5Y4Th. Source: Alexandria, functional GGA-PBE.

Summary:
Space-group type   C2/m

Cell lengths 3.5542, 11.5943, 12.1479 Å; angles 136.78, 98.41, 90.00 degrees
Positions (direct):
Pm (0.2032, 0.2952, 0.4064)
Pm (0.1903, 0.7986, 0.3807)
Pm (0.8097, 0.2014, 0.6193)
Pm (0.5000, 0.5000, 0.0000)
Pm (0.7968, 0.7048, 0.5936)
Y (0.6051, 0.9121, 0.2103)
Y (0.0831, 0.3691, 0.1663)
Y (0.3949, 0.0879, 0.7897)
Y (0.9169, 0.6309, 0.8337)
Th (0.5000, 0.0000, 0.0000)

*b*
An optimized crystal structure of Pm5Y4Th. Source: Alexandria, functional GGA-PBE.

Summary:
Space-group type   I4

Cell lengths 6.2828, 8.0574, 8.0574 Å; angles 81.26, 67.05, 67.05 degrees
Positions (direct):
Pm (0.7658, 0.3746, 0.9977)
Pm (0.1404, 0.9977, 0.6254)
Pm (0.7635, 0.0023, 0.3746)
Pm (0.1381, 0.6254, 0.0023)
Pm (0.6894, 0.0000, 0.0000)
Y (0.4458, 0.3214, 0.6809)
Y (0.7672, 0.6809, 0.6786)
Y (0.1267, 0.3191, 0.3214)
Y (0.4481, 0.6786, 0.3191)
Th (0.2254, 0.0000, 0.0000)

Stability summary: most stable *a*, least stable *b*.

*a*
An optimized crystal structure of PmThZn4. Source: Alexandria, functional GGA-PBE.

Summary:
Space-group type   F-43m

Cell lengths 5.5573, 5.5573, 5.5573 Å; angles 60.00, 60.00, 60.00 degrees
Positions (direct):
Zn (0.6242, 0.6242, 0.1273)
Zn (0.6242, 0.1273, 0.6242)
Zn (0.6242, 0.6242, 0.6242)
Zn (0.1273, 0.6242, 0.6242)
Th (0.0000, 0.0000, 0.0000)
Pm (0.2500, 0.2500, 0.2500)

*b*
An optimized crystal structure of PmThZn4. Source: Alexandria, functional GGA-PBE.

Summary:
Space-group type   I-4m2

Cell lengths 4.1991, 4.1991, 8.1710 Å; angles 104.89, 104.89, 90.00 degrees
Positions (direct):
Pm (0.2500, 0.7500, 0.5000)
Th (0.0000, 0.0000, 0.0000)
Zn (0.6679, 0.1679, 0.3357)
Zn (0.5825, 0.5825, 0.1650)
Zn (0.8321, 0.3321, 0.6643)
Zn (0.4175, 0.4175, 0.8350)

Stability summary: most stable *a*, least stable *b*.

*a*
An optimized crystal structure of PmThZn. Source: Alexandria, functional GGA-PBE.

Summary:
Space-group type   P3m1

Cell lengths 3.6881, 5.0525, 5.0525 Å; angles 120.00, 90.00, 90.00 degrees
Positions (direct):
Zn (0.3216, 0.3333, 0.6667)
Th (0.6289, 0.6667, 0.3333)
Pm (0.0495, 0.0000, 0.0000)

*b*
An optimized crystal structure of PmThZn. Source: Alexandria, functional GGA-PBE.

Summary:
Space-group type   I4mm

Cell lengths 3.6544, 3.6544, 6.7640 Å; angles 105.67, 105.67, 90.00 degrees
Positions (direct):
Zn (0.6654, 0.6654, 0.3308)
Th (0.3161, 0.3161, 0.6322)
Pm (0.0185, 0.0185, 0.0370)

Stability summary: most stable *b*, least stable *a*.

*a*
An optimized crystal structure of Pm2ThZn. Source: Alexandria, functional GGA-PBE.

Summary:
Space-group type   R-3m

Cell lengths 3.5515, 3.5515, 12.0578 Å; angles 81.53, 81.53, 60.00 degrees
Positions (direct):
Zn (0.0000, 0.0000, 0.0000)
Th (0.5000, 0.5000, 0.5000)
Pm (0.0871, 0.0871, 0.7386)
Pm (0.9129, 0.9129, 0.2614)

*b*
An optimized crystal structure of Pm2ThZn. Source: Alexandria, functional GGA-PBE.

Summary:
Space-group type   P4/mmm

Cell lengths 3.6259, 3.6259, 8.7125 Å; angles 90.00, 90.00, 90.00 degrees
Positions (direct):
Zn (0.5000, 0.5000, 0.0000)
Th (0.5000, 0.5000, 0.5000)
Pm (0.0000, 0.0000, 0.7843)
Pm (0.0000, 0.0000, 0.2157)

*c*
An optimized crystal structure of Pm2ThZn. Source: Alexandria, functional GGA-PBE.

Summary:
Space-group type   Cm

Cell lengths 3.6213, 3.6213, 10.7799 Å; angles 80.26, 80.26, 59.97 degrees
Positions (direct):
Pm (0.0728, 0.0728, 0.7816)
Pm (0.2607, 0.2607, 0.2186)
Th (0.4998, 0.4998, 0.4989)
Zn (0.6667, 0.6667, 0.0009)

Stability summary: most stable *b*, least stable *a*.

*a*
An optimized crystal structure of PmTh2Zr. Source: Alexandria, functional GGA-PBE.

Summary:
Space-group type   Fm-3m

Cell lengths 5.5224, 5.5224, 5.5224 Å; angles 60.00, 60.00, 60.00 degrees
Positions (direct):
Zr (0.5000, 0.5000, 0.5000)
Th (0.2500, 0.2500, 0.2500)
Th (0.7500, 0.7500, 0.7500)
Pm (0.0000, 0.0000, 0.0000)

*b*
An optimized crystal structure of PmTh2Zr. Source: Alexandria, functional GGA-PBE.

Summary:
Space-group type   R-3m

Cell lengths 3.4088, 3.4088, 12.3123 Å; angles 82.04, 82.04, 60.00 degrees
Positions (direct):
Zr (0.5000, 0.5000, 0.5000)
Th (0.0903, 0.0903, 0.7290)
Th (0.9097, 0.9097, 0.2710)
Pm (0.0000, 0.0000, 0.0000)

*c*
An optimized crystal structure of PmTh2Zr. Source: Alexandria, functional GGA-PBE.

Summary:
Space-group type   R3m

Cell lengths 3.5010, 3.5010, 11.5456 Å; angles 81.28, 81.28, 60.00 degrees
Positions (direct):
Pm (0.4982, 0.4982, 0.5054)
Th (0.0795, 0.0795, 0.7616)
Th (0.2543, 0.2543, 0.2371)
Zr (0.6680, 0.6680, 0.9959)

Stability summary: most stable *c*, least stable *b*.